No. 1
{"formula": "TbYHgIr", "functional": "PBE", "state": "relaxed", "cell": [[0.000, 3.572, 3.572], [3.572, 0.000, 3.572], [3.572, 3.572, 0.000]], "species": ["Tb", "Y", "Hg", "Ir"], "frac_coords": [[0.000, 0.000, 0.000], [0.500, 0.500, 0.500], [0.750, 0.750, 0.750], [0.250, 0.250, 0.250]], "magmom_total_mub_per_atom": 0.000, "space_group": "F-43m (216)", "delta_e_f_ev_per_atom": -0.6145}

***

No. 2
{"formula": "TcHgIr2", "functional": "PBE", "state": "relaxed", "cell": [[-1.981, 1.981, 4.019], [1.981, -1.981, 4.019], [1.981, 1.981, -4.019]], "species": ["Tc", "Hg", "Ir", "Ir"], "frac_coords": [[0.000, 0.000, 0.000], [0.500, 0.500, 0.000], [0.250, 0.750, 0.500], [0.750, 0.250, 0.500]], "magmom_total_mub_per_atom": 0.000, "space_group": "I4/mmm (139)", "delta_e_f_ev_per_atom": 0.4026}

***

No. 3
{"formula": "TcHgIr2", "functional": "PBE", "state": "relaxed", "cell": [[2.766, 0.000, 0.000], [0.000, 3.866, 0.000], [0.000, 0.000, 6.082]], "species": ["Tc", "Hg", "Ir", "Ir"], "frac_coords": [[0.000, 0.000, 0.000], [0.500, 0.500, 0.292], [0.000, 0.000, 0.570], [0.500, 0.500, 0.801]], "magmom_total_mub_per_atom": 0.000, "space_group": "Pmm2 (25)", "delta_e_f_ev_per_atom": 0.3476}

***

No. 4
{"formula": "Tc2HgIr", "functional": "PBE", "state": "relaxed", "cell": [[2.793, 0.000, 0.000], [0.000, 4.033, 0.000], [0.000, 0.000, 5.746]], "species": ["Tc", "Tc", "Hg", "Ir"], "frac_coords": [[0.000, 0.000, 0.212], [0.000, 0.000, 0.788], [0.500, 0.500, 0.500], [0.500, 0.500, 0.000]], "magmom_total_mub_per_atom": 0.000, "space_group": "Pmmm (47)", "delta_e_f_ev_per_atom": 0.3542}

***

No. 5
{"formula": "Tc3HgIr", "functional": "PBE", "state": "relaxed", "cell": [[4.742, 0.000, 0.000], [0.000, 4.742, 0.000], [0.000, 0.000, 4.742]], "species": ["Tc", "Tc", "Tc", "Hg", "Ir"], "frac_coords": [[0.000, 0.000, 0.500], [0.000, 0.500, 0.000], [0.500, 0.000, 0.000], [0.500, 0.500, 0.500], [0.000, 0.000, 0.000]], "de_polymorph_mev_per_atom": 0, "magmom_total_mub_per_atom": 0.593, "space_group": "Pm-3m (221)", "delta_e_f_ev_per_atom": 1.6567}

***

No. 6
{"formula": "Tc2HgIr", "functional": "PBE", "state": "relaxed", "cell": [[1.411, 0.815, 9.283], [-1.411, 0.815, 9.283], [0.000, -1.630, 9.283]], "species": ["Tc", "Tc", "Hg", "Ir"], "frac_coords": [[0.000, 0.000, 0.000], [0.259, 0.259, 0.259], [0.501, 0.501, 0.501], [0.744, 0.744, 0.744]], "magmom_total_mub_per_atom": 0.000, "space_group": "R3m (160)", "delta_e_f_ev_per_atom": 0.2362}

***

No. 7
{"formula": "Tc2HgIr", "functional": "PBE", "state": "relaxed", "cell": [[2.773, 0.000, 0.000], [0.000, 2.773, 0.000], [0.000, 0.000, 8.274]], "species": ["Tc", "Tc", "Hg", "Ir"], "frac_coords": [[0.000, 0.000, 0.229], [0.000, 0.000, 0.771], [0.500, 0.500, 0.500], [0.500, 0.500, 0.000]], "magmom_total_mub_per_atom": 0.000, "space_group": "P4/mmm (123)", "delta_e_f_ev_per_atom": 0.3002}

***

No. 8
{"formula": "TcHg2Ir", "functional": "PBE", "state": "relaxed", "cell": [[4.001, -1.390, 0.000], [4.001, 1.390, 0.000], [-2.608, 0.000, 7.790]], "species": ["Tc", "Hg", "Hg", "Ir"], "frac_coords": [[0.000, 0.000, 0.000], [0.448, 0.448, 0.607], [0.693, 0.693, 0.303], [0.220, 0.220, 0.868]], "de_polymorph_mev_per_atom": 229, "magmom_total_mub_per_atom": 0.000, "space_group": "Cm (8)", "delta_e_f_ev_per_atom": 0.4409}

***

No. 9
{"formula": "Tc2HgIr", "functional": "PBE", "state": "relaxed", "cell": [[1.437, -2.381, 0.000], [1.437, 2.381, 0.000], [0.000, 0.000, 9.530]], "species": ["Tc", "Tc", "Hg", "Ir"], "frac_coords": [[0.000, 0.000, 0.000], [0.500, 0.500, 0.225], [0.500, 0.500, 0.728], [0.000, 0.000, 0.462]], "magmom_total_mub_per_atom": 0.000, "space_group": "Cmm2 (35)", "delta_e_f_ev_per_atom": 0.4704}

***

No. 10
{"formula": "TcHg3Ir", "functional": "PBE", "state": "relaxed", "cell": [[5.199, 0.000, 0.000], [0.000, 5.199, 0.000], [0.000, 0.000, 5.199]], "species": ["Tc", "Hg", "Hg", "Hg", "Ir"], "frac_coords": [[0.000, 0.000, 0.000], [0.000, 0.500, 0.500], [0.500, 0.000, 0.500], [0.500, 0.500, 0.000], [0.500, 0.500, 0.500]], "de_polymorph_mev_per_atom": 0, "magmom_total_mub_per_atom": 0.937, "space_group": "Pm-3m (221)", "delta_e_f_ev_per_atom": 1.2642}

***

No. 11
{"formula": "TcHgIr2", "functional": "PBE", "state": "relaxed", "cell": [[-3.640, 3.640, 2.729], [3.640, -3.640, 2.729], [3.640, 3.640, -2.729]], "species": ["Tc", "Tc", "Hg", "Hg", "Ir", "Ir", "Ir", "Ir"], "frac_coords": [[0.000, 0.000, 0.000], [0.750, 0.250, 0.500], [0.250, 0.750, 0.500], [0.500, 0.500, 0.000], [0.080, 0.125, 0.455], [0.375, 0.920, 0.045], [0.670, 0.625, 0.545], [0.875, 0.330, 0.955]], "magmom_total_mub_per_atom": 0.000, "space_group": "I-42d (122)", "delta_e_f_ev_per_atom": 0.7662}

***

No. 12
{"formula": "TcHgIr", "functional": "PBE", "state": "relaxed", "cell": [[2.841, 0.000, 0.000], [-1.420, 2.460, 0.000], [0.000, 0.000, 7.103]], "species": ["Tc", "Hg", "Ir"], "frac_coords": [[0.000, 0.000, 0.000], [0.667, 0.333, 0.353], [0.333, 0.667, 0.712]], "de_polymorph_mev_per_atom": 87, "magmom_total_mub_per_atom": 0.000, "space_group": "P3m1 (156)", "delta_e_f_ev_per_atom": 0.3016}

***

Number 2 is which compound? TcHgIr2